1.
VASP calculation (PBE) on a relaxed AcY6Ho12 crystal.

The calculation puts the density of states at the Fermi level at 107.51 states/eV per cell.

It has space group R-3m (No. 166, hexagonal axes), with a = 13.2515 Å, b = 13.2515 Å, c = 12.5448 Å, α = 90.00°, β = 90.00° and γ = 120.00°. The inequivalent atoms are Ac at (0.0000, 0.0000, 0.0000), Y at (0.0308, 0.5154, 0.6229), Ho at (0.0000, 0.2570, 0.5000) and Ho at (0.0920, 0.1841, 0.2633).

2.
VASP calculation (PBE) on a relaxed Hf3Sc crystal.

The calculation puts the density of states at the Fermi level at 6.34 states/eV per cell.

It has space group Imm2 (No. 44), with a = 3.212 Å, b = 10.092 Å, c = 5.584 Å, α = 90.00°, β = 90.00° and γ = 90.00°. The inequivalent atoms are Hf at (0.000, 0.000, 0.000), Hf at (0.000, 0.250, 0.667) and Sc at (0.000, 0.500, 0.997).

Across the entries above, calculated total energy takes the values -281.31 -72.44 eV/cell, respectively.